Version 1
A plane-wave DFT calculation with GGA-PBE was carried out for a relaxed structure of BPdS2N.

Structure (extended XYZ):
```
5
Lattice="4.9225 0.0000 0.0000 0.0000 4.9225 0.0000 0.0000 0.0000 2.7072" Properties=species:S:1:pos:R:3 pbc="T T T"
B 0.0000 0.0000 0.0000
Pd 2.4613 2.4613 1.3536
S 0.0000 2.4613 0.0000
S 2.4613 0.0000 0.0000
N 0.0000 0.0000 1.3536
```

Calculated values
Total magnetic moment = 0.0 μB per cell

Version 2
A plane-wave DFT calculation with GGA-PBE was carried out for a relaxed structure of BPdS2N.

Structure (extended XYZ):
```
5
Lattice="4.9253 0.0000 0.0000 0.0000 4.9253 0.0000 0.0000 0.0000 3.6464" Properties=species:S:1:pos:R:3 pbc="T T T"
B 0.0000 0.0000 0.0000
Pd 2.4627 2.4627 1.8232
S 0.0000 2.4627 1.8232
S 2.4627 0.0000 1.8232
N 2.4627 2.4627 0.0000
```

Calculated values
Total magnetic moment = 0.0 μB per cell

If we sort the structures by their calculated energies, the order from most to least stable is version 1, version 2.

Version 1
A plane-wave DFT calculation with GGA-PBE was carried out for a relaxed structure of BPdSe2N.

Structure (extended XYZ):
```
5
Lattice="5.1602 0.0000 0.0000 0.0000 5.1602 0.0000 0.0000 0.0000 3.6601" Properties=species:S:1:pos:R:3 pbc="T T T"
B 0.0000 0.0000 0.0000
Pd 2.5801 2.5801 1.8300
Se 0.0000 2.5801 1.8300
Se 2.5801 0.0000 1.8300
N 2.5801 2.5801 0.0000
```

Calculated values
Total magnetic moment = 0.4 μB per cell

Version 2
A plane-wave DFT calculation with GGA-PBE was carried out for a relaxed structure of BPdSe2N.

Structure (extended XYZ):
```
5
Lattice="5.1759 0.0000 0.0000 0.0000 5.1759 0.0000 0.0000 0.0000 2.7446" Properties=species:S:1:pos:R:3 pbc="T T T"
B 0.0000 0.0000 0.0000
Pd 2.5879 2.5879 1.3723
Se 0.0000 2.5879 0.0000
Se 2.5879 0.0000 0.0000
N 0.0000 0.0000 1.3723
```

Calculated values
Total magnetic moment = 0.0 μB per cell

If we sort the structures by their calculated energies, the order from most to least stable is version 2, version 1.

Version 1
A plane-wave DFT calculation with GGA-PBE was carried out for a relaxed structure of PmBN.

Structure (extended XYZ):
```
12
Lattice="7.8070 0.0000 0.0000 0.0000 4.0275 0.0000 -3.6215 0.0000 6.1331" Properties=species:S:1:pos:R:3 pbc="T T T"
Pm 0.8656 0.0000 1.6929
Pm -0.5836 2.0137 4.4402
Pm 4.7691 2.0137 1.6929
Pm 3.3200 0.0000 4.4402
B -3.1230 2.0137 5.5303
B 3.4050 0.0000 0.6028
B 0.7805 0.0000 5.5303
B 7.3085 2.0137 0.6028
N -0.5838 2.0137 2.0239
N 0.8658 0.0000 4.1092
N 3.3197 0.0000 2.0239
N 4.7694 2.0137 4.1092
```

Calculated values
Total magnetic moment = 0.0 μB per cell

Version 2
A plane-wave DFT calculation with GGA-PBE was carried out for a relaxed structure of PmBN.

Structure (extended XYZ):
```
3
Lattice="2.9930 0.0000 0.0000 -1.4965 2.5920 0.0000 0.0000 0.0000 4.4191" Properties=species:S:1:pos:R:3 pbc="T T T"
Pm 0.0000 0.0000 0.0000
B 0.0000 1.7280 2.2096
N 1.4965 0.8640 2.2096
```

Calculated values
Total magnetic moment = 0.0 μB per cell

If we sort the structures by their calculated energies, the order from most to least stable is version 1, version 2.

Version 1
A plane-wave DFT calculation with GGA-PBE was carried out for a relaxed structure of PrBN.

Structure (extended XYZ):
```
3
Lattice="3.0742 0.0000 0.0000 -1.5371 2.6624 0.0000 0.0000 0.0000 4.4294" Properties=species:S:1:pos:R:3 pbc="T T T"
Pr 0.0000 0.0000 0.0000
B 0.0000 1.7749 2.2147
N 1.5371 0.8874 2.2147
```

Calculated values
Total magnetic moment = 0.0 μB per cell

Version 2
A plane-wave DFT calculation with GGA-PBE was carried out for a relaxed structure of PrBN.

Structure (extended XYZ):
```
6
Lattice="3.9492 0.0000 0.0000 0.0000 5.3259 0.0000 0.0000 0.0000 4.9440" Properties=species:S:1:pos:R:3 pbc="T T T"
Pr 0.9873 1.3315 1.0110
Pr 2.9619 3.9944 3.9329
B 0.9873 3.9944 1.8915
B 2.9619 1.3315 3.0525
N 0.9873 3.9944 0.5474
N 2.9619 1.3315 4.3966
```

Calculated values
Total magnetic moment = 0.0 μB per cell

If we sort the structures by their calculated energies, the order from most to least stable is version 2, version 1.

Version 1
A plane-wave DFT calculation with GGA-PBE was carried out for a relaxed structure of PrBN.

Structure (extended XYZ):
```
6
Lattice="3.9013 0.0000 0.0000 0.0000 3.9013 0.0000 0.0000 0.0000 6.6043" Properties=species:S:1:pos:R:3 pbc="T T T"
Pr 0.0000 0.0000 0.0000
Pr 1.9506 1.9506 3.3021
B 0.0000 0.0000 2.6868
B 1.9506 1.9506 5.9889
N 0.0000 0.0000 4.0099
N 1.9506 1.9506 0.7078
```

Calculated values
Total magnetic moment = 0.0 μB per cell

Version 2
A plane-wave DFT calculation with GGA-PBE was carried out for a relaxed structure of PrBN.

Structure (extended XYZ):
```
12
Lattice="3.8135 0.0000 0.0000 0.0000 12.4405 0.0000 0.0000 0.0000 3.4975" Properties=species:S:1:pos:R:3 pbc="T T T"
Pr 0.0000 1.7538 0.8744
Pr 0.0000 10.6868 2.6232
Pr 1.9068 4.4665 2.6232
Pr 1.9068 7.9740 0.8744
B 0.0000 5.7443 0.8744
B 0.0000 6.6963 2.6232
B 1.9068 0.4760 2.6232
B 1.9068 11.9645 0.8744
N 0.0000 4.2837 0.8744
N 0.0000 8.1568 2.6232
N 1.9068 1.9366 2.6232
N 1.9068 10.5040 0.8744
```

Calculated values
Total magnetic moment = 0.0 μB per cell

If we sort the structures by their calculated energies, the order from most to least stable is version 2, version 1.

Version 1
A plane-wave DFT calculation with GGA-PBE was carried out for a relaxed structure of Pr3B2N4.

Structure (extended XYZ):
```
9
Lattice="-1.7970 3.1784 5.4653 1.7970 -3.1784 5.4653 1.7970 3.1784 -5.4653" Properties=species:S:1:pos:R:3 pbc="T T T"
Pr 0.0000 0.0000 0.0000
Pr 1.7970 0.0000 3.2575
Pr 0.0000 3.1784 2.2078
B 1.7970 2.2706 0.0000
B 0.0000 0.9078 5.4653
N 1.7970 1.5562 -1.2918
N 1.7970 1.5562 1.2918
N 0.0000 1.6221 4.1735
N 0.0000 1.6221 6.7571
```

Calculated values
Total magnetic moment = 0.0 μB per cell

Version 2
A plane-wave DFT calculation with GGA-PBE was carried out for a relaxed structure of Pr3B2N4.

Structure (extended XYZ):
```
18
Lattice="5.6473 -3.9099 0.0000 5.6473 3.9099 0.0000 -0.2788 0.0000 5.2389" Properties=species:S:1:pos:R:3 pbc="T T T"
Pr 5.4382 3.3071 3.9292
Pr 4.1067 1.0650 2.3076
Pr 7.0485 1.0650 0.3118
Pr 3.9673 -1.0650 4.9271
Pr 6.9091 -1.0650 2.9313
Pr 5.5776 -3.3071 1.3097
B 2.1720 0.9398 4.9673
B 2.3114 -0.9398 2.3478
B 8.7044 0.9398 2.8911
B 8.8438 -0.9398 0.2716
N 1.9878 0.3783 3.3406
N 3.6637 1.6016 5.1399
N 2.1272 -0.3783 0.7212
N 7.2127 1.6016 2.7184
N 3.8031 -1.6016 2.5205
N 8.8886 0.3783 4.5177
N 7.3521 -1.6016 0.0990
N 9.0280 -0.3783 1.8982
```

Calculated values
Total magnetic moment = 0.0 μB per cell

If we sort the structures by their calculated energies, the order from most to least stable is version 1, version 2.

Version 1
A plane-wave DFT calculation with GGA-PBE was carried out for a relaxed structure of B3PtN.

Structure (extended XYZ):
```
5
Lattice="4.0966 0.0000 0.0000 0.0000 4.0966 0.0000 0.0000 0.0000 4.0966" Properties=species:S:1:pos:R:3 pbc="T T T"
B 0.0000 0.0000 2.0483
B 0.0000 2.0483 0.0000
B 2.0483 0.0000 0.0000
Pt 0.0000 0.0000 0.0000
N 2.0483 2.0483 2.0483
```

Calculated values
Total magnetic moment = 2.0 μB per cell

Version 2
A plane-wave DFT calculation with GGA-PBE was carried out for a relaxed structure of B3PtN.

Structure (extended XYZ):
```
5
Lattice="3.4767 0.0000 0.0000 0.0000 3.4767 0.0000 0.0000 0.0000 3.4767" Properties=species:S:1:pos:R:3 pbc="T T T"
B 0.0000 0.0000 1.7383
B 0.0000 1.7383 0.0000
B 1.7383 0.0000 0.0000
Pt 1.7383 1.7383 1.7383
N 0.0000 0.0000 0.0000
```

Calculated values
Total magnetic moment = 0.0 μB per cell

If we sort the structures by their calculated energies, the order from most to least stable is version 2, version 1.

Version 1
A plane-wave DFT calculation with GGA-PBE was carried out for a relaxed structure of BPt2N.

Structure (extended XYZ):
```
16
Lattice="4.7360 0.0000 0.0000 0.0000 4.7360 0.0000 0.0000 0.0000 9.7371" Properties=species:S:1:pos:R:3 pbc="T T T"
B 0.0000 0.0000 0.0000
B 0.0000 2.3680 2.4343
B 2.3680 0.0000 7.3029
B 2.3680 2.3680 4.8686
Pt 1.1706 1.1840 1.2171
Pt 1.1840 3.5386 3.6514
Pt 1.1840 3.5654 8.5200
Pt 1.1974 1.1840 6.0857
Pt 3.5386 3.5520 6.0857
Pt 3.5520 1.1706 8.5200
Pt 3.5520 1.1974 3.6514
Pt 3.5654 3.5520 1.2171
N 0.0000 0.0000 4.8686
N 0.0000 2.3680 7.3029
N 2.3680 0.0000 2.4343
N 2.3680 2.3680 0.0000
```

Calculated values
Total magnetic moment = 0.0 μB per cell

Version 2
A plane-wave DFT calculation with GGA-PBE was carried out for a relaxed structure of BPt2N.

Structure (extended XYZ):
```
16
Lattice="5.6206 0.0000 0.0000 0.0000 5.6206 0.0000 0.0000 0.0000 5.6206" Properties=species:S:1:pos:R:3 pbc="T T T"
B 0.0000 0.0000 0.0000
B 0.0000 2.8103 2.8103
B 2.8103 0.0000 2.8103
B 2.8103 2.8103 0.0000
Pt 1.4052 1.4052 1.4052
Pt 1.4052 1.4052 4.2155
Pt 1.4052 4.2155 1.4052
Pt 1.4052 4.2155 4.2155
Pt 4.2155 1.4052 1.4052
Pt 4.2155 1.4052 4.2155
Pt 4.2155 4.2155 1.4052
Pt 4.2155 4.2155 4.2155
N 0.0000 0.0000 2.8103
N 0.0000 2.8103 0.0000
N 2.8103 0.0000 0.0000
N 2.8103 2.8103 2.8103
```

Calculated values
Total magnetic moment = 0.0 μB per cell

If we sort the structures by their calculated energies, the order from most to least stable is version 1, version 2.

Version 1
A plane-wave DFT calculation with GGA-PBE was carried out for a relaxed structure of BPtS2N.

Structure (extended XYZ):
```
5
Lattice="4.8913 0.0000 0.0000 0.0000 4.8913 0.0000 0.0000 0.0000 2.7148" Properties=species:S:1:pos:R:3 pbc="T T T"
B 0.0000 0.0000 0.0000
Pt 2.4457 2.4457 1.3574
S 0.0000 2.4457 0.0000
S 2.4457 0.0000 0.0000
N 0.0000 0.0000 1.3574
```

Calculated values
Total magnetic moment = 0.0 μB per cell

Version 2
A plane-wave DFT calculation with GGA-PBE was carried out for a relaxed structure of BPtS2N.

Structure (extended XYZ):
```
5
Lattice="4.9537 0.0000 0.0000 0.0000 4.9537 0.0000 0.0000 0.0000 3.6418" Properties=species:S:1:pos:R:3 pbc="T T T"
B 0.0000 0.0000 0.0000
Pt 2.4769 2.4769 1.8209
S 0.0000 2.4769 1.8209
S 2.4769 0.0000 1.8209
N 2.4769 2.4769 0.0000
```

Calculated values
Total magnetic moment = 0.0 μB per cell

If we sort the structures by their calculated energies, the order from most to least stable is version 1, version 2.

Version 1
A plane-wave DFT calculation with GGA-PBE was carried out for a relaxed structure of BPtSe2N.

Structure (extended XYZ):
```
5
Lattice="5.2221 0.0000 0.0000 0.0000 5.2221 0.0000 0.0000 0.0000 3.6413" Properties=species:S:1:pos:R:3 pbc="T T T"
B 0.0000 0.0000 0.0000
Pt 2.6111 2.6111 1.8207
Se 0.0000 2.6111 1.8207
Se 2.6111 0.0000 1.8207
N 2.6111 2.6111 0.0000
```

Calculated values
Total magnetic moment = 0.0 μB per cell

Version 2
A plane-wave DFT calculation with GGA-PBE was carried out for a relaxed structure of BPtSe2N.

Structure (extended XYZ):
```
5
Lattice="5.1612 0.0000 0.0000 0.0000 5.1612 0.0000 0.0000 0.0000 2.7441" Properties=species:S:1:pos:R:3 pbc="T T T"
B 0.0000 0.0000 0.0000
Pt 2.5806 2.5806 1.3721
Se 0.0000 2.5806 0.0000
Se 2.5806 0.0000 0.0000
N 0.0000 0.0000 1.3721
```

Calculated values
Total magnetic moment = 0.0 μB per cell

If we sort the structures by their calculated energies, the order from most to least stable is version 2, version 1.

Version 1
A plane-wave DFT calculation with GGA-PBE was carried out for a relaxed structure of BTe2PtN.

Structure (extended XYZ):
```
5
Lattice="5.5913 0.0000 0.0000 0.0000 5.5913 0.0000 0.0000 0.0000 3.6499" Properties=species:S:1:pos:R:3 pbc="T T T"
B 0.0000 0.0000 0.0000
Te 0.0000 2.7957 1.8249
Te 2.7957 0.0000 1.8249
Pt 2.7957 2.7957 1.8249
N 2.7957 2.7957 0.0000
```

Calculated values
Total magnetic moment = 0.0 μB per cell

Version 2
A plane-wave DFT calculation with GGA-PBE was carried out for a relaxed structure of BTe2PtN.

Structure (extended XYZ):
```
5
Lattice="5.4526 0.0000 0.0000 0.0000 5.4526 0.0000 0.0000 0.0000 2.8577" Properties=species:S:1:pos:R:3 pbc="T T T"
B 0.0000 0.0000 0.0000
Te 0.0000 2.7263 0.0000
Te 2.7263 0.0000 0.0000
Pt 2.7263 2.7263 1.4288
N 0.0000 0.0000 1.4288
```

Calculated values
Total magnetic moment = 0.0 μB per cell

If we sort the structures by their calculated energies, the order from most to least stable is version 2, version 1.

Version 1
A plane-wave DFT calculation with GGA-PBE was carried out for a relaxed structure of Rb3BN2.

Structure (extended XYZ):
```
12
Lattice="4.1036 2.3692 4.7042 -4.1036 2.3692 4.7042 0.0000 -4.7384 4.7042" Properties=species:S:1:pos:R:3 pbc="T T T"
Rb -2.9868 -0.4349 5.8803
Rb -1.1168 -2.8041 8.2324
Rb 1.8700 -2.3692 5.8803
Rb -1.8700 2.3692 8.2324
Rb 1.1168 2.8041 5.8803
Rb 2.9868 0.4349 8.2324
B 0.0000 0.0000 0.0000
B 0.0000 0.0000 7.0564
N 0.0000 0.0000 1.3631
N 0.0000 0.0000 5.6932
N 0.0000 0.0000 8.4195
N 0.0000 0.0000 12.7496
```

Calculated values
Total magnetic moment = 0.0 μB per cell

Version 2
A plane-wave DFT calculation with GGA-PBE was carried out for a relaxed structure of Rb3BN2.

Structure (extended XYZ):
```
24
Lattice="6.9344 0.0000 0.0000 0.0000 9.1750 0.0000 -3.6185 0.0000 8.8386" Properties=species:S:1:pos:R:3 pbc="T T T"
Rb 0.1556 0.3728 3.4446
Rb -1.6536 4.2147 7.8639
Rb -1.8556 0.3963 8.8075
Rb -0.0463 4.1912 4.3882
Rb 1.1435 6.4823 1.7135
Rb -0.6657 7.2802 6.1328
Rb 3.9817 1.8948 2.7058
Rb 2.1724 2.6927 7.1251
Rb 3.3623 4.9838 4.4504
Rb 5.1716 8.7787 0.0311
Rb 4.9696 4.9603 0.9747
Rb 3.1604 8.8022 5.3940
B -1.0784 1.6274 6.0172
B 0.7308 2.9601 1.5979
B 2.5852 6.2149 7.2407
B 4.3944 7.5476 2.8214
N -0.3436 2.2495 1.1525
N -2.1528 2.3380 5.5718
N -0.0028 0.9203 6.4645
N 1.8065 3.6672 2.0452
N 1.5095 5.5078 6.7934
N 3.3187 8.2547 2.3741
N 5.4688 6.8370 3.2668
N 3.6596 6.9255 7.6861
```

Calculated values
Total magnetic moment = 0.0 μB per cell

If we sort the structures by their calculated energies, the order from most to least stable is version 2, version 1.